Entry 1:
NaTl2GaBr6 (PBE, optimized geometry); symmetry = P-3m1; M_tot = 0.000 μB per formula unit; energy = -2.85 eV/atom; crystal system = trigonal; energy relative to the elements, uncorrected = -0.941 eV/atom
1.0
7.5193 0.0000 0.0000
-3.7596 6.5119 0.0000
0.0000 0.0000 7.2197
Na Tl Ga Br
1 2 1 6
Direct
0.0000 0.0000 0.0000
0.3333 0.6667 0.3691
0.6667 0.3333 0.6309
0.0000 0.0000 0.5000
0.1611 0.3221 0.7085
0.1611 0.8389 0.7085
0.3221 0.1611 0.2915
0.6779 0.8389 0.7085
0.8389 0.1611 0.2915
0.8389 0.6779 0.2915

=====

Entry 2:
Na2Tl3GaBr6 (PBE, optimized geometry); symmetry = C2/m; M_tot = 0.000 μB per formula unit; energy = -2.93 eV/atom; crystal system = monoclinic; energy relative to the elements, uncorrected = -1.029 eV/atom
1.0
9.9701 -2.2578 0.0000
9.9701 2.2578 0.0000
-2.2941 0.0000 8.9035
Na Tl Ga Br
2 3 1 6
Direct
0.1688 0.1688 0.3352
0.8312 0.8312 0.6648
0.1658 0.1658 0.8303
0.5000 0.5000 0.5000
0.8342 0.8342 0.1697
0.5000 0.5000 0.0000
0.0112 0.0112 0.2430
0.3260 0.3260 0.4341
0.3348 0.3348 0.8958
0.6652 0.6652 0.1042
0.6740 0.6740 0.5659
0.9888 0.9888 0.7570

=====

Entry 3:
Na2TlGaBr4 (PBE, optimized geometry); symmetry = P2/m; M_tot = 0.000 μB per formula unit; energy = -2.95 eV/atom; crystal system = monoclinic; energy relative to the elements, uncorrected = -1.112 eV/atom
1.0
7.6570 0.0000 0.0000
0.0000 4.4140 0.0000
-2.5452 0.0000 7.3951
Na Tl Ga Br
2 1 1 4
Direct
0.0000 0.0000 0.0000
0.5000 0.5000 0.0000
0.0000 0.5000 0.5000
0.5000 0.0000 0.5000
0.2511 0.5000 0.2286
0.2684 0.0000 0.7779
0.7316 0.0000 0.2221
0.7489 0.5000 0.7714

=====

Entry 4:
NaTl3Ga2Br6 (PBE, optimized geometry); symmetry = C2/m; M_tot = 0.000 μB per formula unit; energy = -2.90 eV/atom; crystal system = monoclinic; energy relative to the elements, uncorrected = -0.860 eV/atom
1.0
3.9608 -6.8465 0.0000
3.9608 6.8465 0.0000
-2.6346 0.0000 7.5466
Na Tl Ga Br
1 3 2 6
Direct
0.0000 0.0000 0.0000
0.1678 0.8322 0.5000
0.5000 0.5000 0.5000
0.8322 0.1678 0.5000
0.3327 0.6673 0.0000
0.6673 0.3327 0.0000
0.0739 0.3974 0.2233
0.2465 0.2465 0.7691
0.3974 0.0739 0.2233
0.6026 0.9261 0.7767
0.7535 0.7535 0.2309
0.9261 0.6026 0.7767

=====

Number 1 is which compound? NaTl2GaBr6

=====

Which of these has the lowest energy relative to the elements, uncorrected? Na2TlGaBr4

=====

Among the records above, which one has the lowest energy? Na2TlGaBr4

=====

Please write out number 4 again, unchanged.
NaTl3Ga2Br6 (PBE, optimized geometry); symmetry = C2/m; M_tot = 0.000 μB per formula unit; energy = -2.90 eV/atom; crystal system = monoclinic; energy relative to the elements, uncorrected = -0.860 eV/atom
1.0
3.9608 -6.8465 0.0000
3.9608 6.8465 0.0000
-2.6346 0.0000 7.5466
Na Tl Ga Br
1 3 2 6
Direct
0.0000 0.0000 0.0000
0.1678 0.8322 0.5000
0.5000 0.5000 0.5000
0.8322 0.1678 0.5000
0.3327 0.6673 0.0000
0.6673 0.3327 0.0000
0.0739 0.3974 0.2233
0.2465 0.2465 0.7691
0.3974 0.0739 0.2233
0.6026 0.9261 0.7767
0.7535 0.7535 0.2309
0.9261 0.6026 0.7767